[1]
The following is a GGA-PBE calculation of an optimized crystal structure of La5Er2Ge4, from Alexandria.

Geometry as POSCAR:
```
La5Er2Ge4
1.0
3.549 0.000 0.000
0.000 7.089 -1.013
-1.775 -5.223 14.030
La Ge Er
5 4 2
Cartesian
1.775 1.491 9.597
0.000 0.374 3.419
1.775 -2.321 9.505
1.775 0.000 0.000
0.000 4.186 3.511
1.775 -3.101 12.447
0.000 4.966 0.570
1.775 -0.576 12.007
0.000 2.441 1.010
1.775 -0.574 6.615
0.000 2.440 6.401
```

Results
V (Å³/cell): 334.21
Uncorrected energy (eV per atom): -4.8260



[2]
The following is a GGA-PBE calculation of an optimized crystal structure of Li2LaErGe2, from Alexandria.

Geometry as POSCAR:
```
Li2LaErGe2
1.0
-1.634 3.443 -2.341
-2.683 -3.381 1.174
-1.668 3.529 6.356
Er Ge La Li
1 2 1 2
Cartesian
-0.834 1.765 3.178
-3.202 3.746 3.473
-2.783 -0.155 1.716
0.000 0.000 0.000
-3.504 1.372 4.465
-2.481 2.220 0.723
```

Results
V (Å³/cell): 129.23
Uncorrected energy (eV per atom): -4.4411



[3]
The following is a GGA-PBE calculation of an optimized crystal structure of LiLaErGe, from Alexandria.

Geometry as POSCAR:
```
LiLaErGe
1.0
-0.097 5.144 0.340
-3.554 2.324 2.926
1.390 2.321 4.390
Li Ge La Er
1 1 1 1
Cartesian
-1.695 7.342 5.741
-0.565 2.447 1.914
0.000 0.000 0.000
-1.130 4.895 3.828
```

Results
V (Å³/cell): 96.95
Uncorrected energy (eV per atom): -4.4058



[4]
The following is a GGA-PBE calculation of an optimized crystal structure of LaEr2GeN4, from Alexandria.

Geometry as POSCAR:
```
LaEr2GeN4
1.0
3.533 0.000 0.000
-1.767 5.753 0.000
0.000 0.000 11.551
N Er La Ge
8 4 2 2
Cartesian
1.767 2.681 7.201
0.000 0.000 0.000
0.000 3.072 1.426
1.767 0.948 2.888
0.000 0.000 5.775
0.000 4.805 8.663
0.000 3.072 4.349
1.767 2.681 10.125
0.000 4.250 6.273
0.000 4.250 11.053
1.766 1.503 5.278
1.766 1.503 0.498
1.767 4.643 2.888
0.000 1.110 8.663
0.000 1.894 2.888
1.767 3.859 8.663
```

Results
V (Å³/cell): 234.78
Uncorrected energy (eV per atom): -7.6487



[5]
The following is a GGA-PBE calculation of an optimized crystal structure of La2Er4Ge3O2, from Alexandria.

Geometry as POSCAR:
```
La2Er4Ge3O2
1.0
-4.482 0.828 0.027
-0.541 -2.816 -3.543
0.842 -8.299 9.400
Er Ge La O
4 3 2 2
Cartesian
-1.678 -9.239 4.668
-2.504 -1.049 1.216
-0.534 -2.871 -0.569
-3.648 -7.417 6.453
0.000 0.000 0.000
-0.559 -3.111 2.558
-3.623 -7.177 3.326
-3.172 -4.666 1.261
-1.010 -5.622 4.623
-1.375 -7.651 6.292
-2.807 -2.637 -0.408
```

Results
V (Å³/cell): 252.39
Uncorrected energy (eV per atom): -6.3389



[6]
The following is a GGA-PBE calculation of an optimized crystal structure of La2ErGe4Pd3, from Alexandria.

Geometry as POSCAR:
```
La2ErGe4Pd3
1.0
4.345 0.000 0.000
0.000 4.345 0.000
0.000 0.000 11.346
Ge La Pd Er
4 2 3 1
Cartesian
2.173 0.000 7.500
0.000 0.000 0.000
2.173 2.173 0.000
0.000 2.173 3.846
0.000 2.173 8.745
2.173 0.000 2.601
0.000 2.173 1.338
0.000 0.000 5.673
2.173 0.000 10.008
2.173 2.173 5.673
```

Results
V (Å³/cell): 214.21
Uncorrected energy (eV per atom): -5.6962



[7]
The following is a GGA-PBE calculation of an optimized crystal structure of LaErGePt, from Alexandria.

Geometry as POSCAR:
```
LaErGePt
1.0
-0.191 3.838 -3.387
-2.774 -0.495 -4.278
-4.319 2.694 -0.578
Pt Ge Er La
1 1 1 1
Cartesian
-5.463 4.528 -6.183
-1.821 1.509 -2.061
0.000 0.000 0.000
-3.642 3.019 -4.122
```

Results
V (Å³/cell): 95.06
Uncorrected energy (eV per atom): -5.9227



[8]
The following is a GGA-PBE calculation of an optimized crystal structure of La2ErGe4Pt3, from Alexandria.

Geometry as POSCAR:
```
La2ErGe4Pt3
1.0
-3.078 -0.526 3.037
3.082 -0.504 3.036
-0.039 11.063 1.877
Pt Ge La Er
3 4 2 1
Cartesian
-1.573 9.509 3.177
-0.020 5.531 0.939
1.537 1.038 1.737
-1.565 7.036 2.757
0.002 -0.515 3.037
0.000 0.000 0.000
1.528 3.511 2.157
1.511 8.244 2.960
-1.548 2.303 1.954
-0.017 5.016 3.975
```

Results
V (Å³/cell): 212.89
Uncorrected energy (eV per atom): -6.0709



[9]
The following is a GGA-PBE calculation of an optimized crystal structure of LaErGe2Rh5, from Alexandria.

Geometry as POSCAR:
```
LaErGe2Rh5
1.0
4.219 0.000 0.000
0.000 4.219 0.000
0.000 0.000 9.017
Ge Rh Er La
2 5 1 1
Cartesian
2.110 2.110 7.773
2.110 2.110 1.243
0.000 2.110 2.379
2.110 0.000 6.638
2.110 0.000 2.379
0.000 2.110 6.638
2.110 2.110 4.508
0.000 0.000 0.000
0.000 0.000 4.508
```

Results
V (Å³/cell): 160.51
Uncorrected energy (eV per atom): -6.8572



[10]
The following is a GGA-PBE calculation of an optimized crystal structure of LaErZnGe, from Alexandria.

Geometry as POSCAR:
```
LaErZnGe
1.0
5.139 0.000 0.000
2.569 4.450 0.000
2.569 1.483 4.196
Er La Ge Zn
1 1 1 1
Cartesian
0.000 0.000 0.000
5.139 2.967 2.098
2.569 1.483 1.049
7.708 4.450 3.147
```

Results
V (Å³/cell): 95.95
Uncorrected energy (eV per atom): -4.3719



[11]
The following is a GGA-PBE calculation of an optimized crystal structure of LiEr2Ge, from Alexandria.

Geometry as POSCAR:
```
LiEr2Ge
1.0
-2.767 -1.407 -2.445
3.019 0.389 -3.639
1.537 -4.416 0.803
Er Ge Li
2 1 1
Cartesian
1.509 0.194 -1.819
0.768 -2.208 0.401
-1.383 -0.704 -1.223
0.894 -2.717 -2.641
```

Results
V (Å³/cell): 88.93
Uncorrected energy (eV per atom): -4.3236



[12]
The following is a GGA-PBE calculation of an optimized crystal structure of Li2Er2Ge3, from Alexandria.

Geometry as POSCAR:
```
Li2Er2Ge3
1.0
4.158 0.000 -0.991
0.000 6.797 0.000
0.031 0.000 9.346
Ge Er Li
6 4 4
Cartesian
2.350 2.978 0.642
1.839 3.819 7.712
3.252 1.699 4.426
0.937 5.097 3.929
1.839 6.376 7.712
2.350 0.421 0.642
0.224 5.097 0.941
3.965 1.699 7.414
0.656 1.699 2.753
3.533 5.097 5.601
1.296 2.978 5.435
2.893 3.818 2.920
1.296 0.420 5.435
2.893 6.377 2.920
```

Results
V (Å³/cell): 264.33
Uncorrected energy (eV per atom): -4.4827